An optimized crystal structure of AsPbAu, computed with PBE.

Values from the calculation:
- calculated density (g/cm³) = 10.43
- N(E_F) (states/eV/cell) = 1.00
- DFT formation energy (eV per atom) = 0.052
- total magnetic moment (μB per atom) = 0.000
- energy above the most stable polymorph in this dataset (eV/f.u.) = 0.35

Lattice parameters (Å, degrees): 4.7597 4.7597 4.7597 60.00 60.00 60.00
Atoms (fractional coordinates):
As: 0.0000 0.0000 0.0000
Pb: 0.5000 0.5000 0.5000
Au: 0.2500 0.2500 0.2500


An optimized crystal structure of CaZnPb, computed with PBE.

Values from the calculation:
- calculated density (g/cm³) = 6.70
- N(E_F) (states/eV/cell) = 4.93
- DFT formation energy (eV per atom) = -0.322
- total magnetic moment (μB per atom) = 0.000

Lattice parameters (Å, degrees): 4.8126 4.8126 15.4502 90.00 90.00 120.00
Atoms (fractional coordinates):
Ca: 0.0000 0.0000 0.0000
Ca: 0.0000 0.0000 0.2500
Ca: 0.0000 0.0000 0.5000
Ca: 0.0000 0.0000 0.7500
Zn: 0.3333 0.6667 0.1562
Zn: 0.3333 0.6667 0.3438
Zn: 0.6667 0.3333 0.6562
Zn: 0.6667 0.3333 0.8438
Pb: 0.3333 0.6667 0.6127
Pb: 0.3333 0.6667 0.8873
Pb: 0.6667 0.3333 0.1127
Pb: 0.6667 0.3333 0.3873


An optimized crystal structure of ZrSc2Sb, computed with PBE.

Values from the calculation:
- calculated density (g/cm³) = 5.71
- N(E_F) (states/eV/cell) = 5.60
- ΔE_f (raw) (eV/atom) = -0.23
- total magnetic moment (μB per atom) = 0.241

Lattice parameters (Å, degrees): 4.9942 4.9942 4.9942 60.00 60.00 60.00
Atoms (fractional coordinates):
Zr: 0.0000 0.0000 0.0000
Sc: 0.2500 0.2500 0.2500
Sc: 0.5000 0.5000 0.5000
Sb: 0.7500 0.7500 0.7500


An optimized crystal structure of Ba6Sr3Ir, computed with PBE.

Values from the calculation:
- calculated density (g/cm³) = 3.80
- N(E_F) (states/eV/cell) = 18.88
- DFT formation energy (eV per atom) = -0.072
- total magnetic moment (μB per atom) = 0.000

Lattice parameters (Å, degrees): 13.2974 13.2974 6.3164 90.00 90.00 89.50
Atoms (fractional coordinates):
Ba: 0.0882 0.9118 0.4998
Ba: 0.0904 0.5887 0.5000
Ba: 0.2497 0.7503 0.9995
Ba: 0.2533 0.4131 0.0006
Ba: 0.4113 0.9096 0.5000
Ba: 0.4131 0.2533 0.5006
Ba: 0.5869 0.7467 0.0006
Ba: 0.5887 0.0904 0.0000
Ba: 0.7467 0.5869 0.5006
Ba: 0.7503 0.2497 0.4995
Ba: 0.9096 0.4113 0.0000
Ba: 0.9118 0.0882 0.9998
Sr: 0.0876 0.2487 0.5004
Sr: 0.2487 0.0876 0.0004
Sr: 0.4093 0.5907 0.5003
Sr: 0.5907 0.4093 0.0003
Sr: 0.7513 0.9124 0.5004
Sr: 0.9124 0.7513 0.0004
Ir: 0.2498 0.7502 0.4993
Ir: 0.7502 0.2498 0.9993